No. 1
MgPaGa2Pd2 | PBE-GGA | optimized geometry

```
data_MgPaGa2Pd2
_chemical_formula_sum 'Mg1 Pa1 Ga2 Pd2'
_space_group_name_H-M_alt 'P -3 m 1'
_space_group_IT_number 164
_space_group_name_Hall '-P 3 2"'
_cell_length_a 4.3595
_cell_length_b 4.3595
_cell_length_c 6.7228
_cell_angle_alpha 90.00
_cell_angle_beta 90.00
_cell_angle_gamma 120.00
loop_
_atom_site_label
_atom_site_fract_x
_atom_site_fract_y
_atom_site_fract_z
Mg1 0.0000 0.0000 0.0000
Pa1 0.0000 0.0000 0.5000
Ga1 0.3333 0.6667 0.7565
Pd1 0.3333 0.6667 0.1660
```

Properties
Uncorrected energy (eV per atom): -5.1242

***

No. 2
MgPa2Ga2Rh5 | PBE-GGA | optimized geometry

```
data_MgPa2Ga2Rh5
_chemical_formula_sum 'Mg2 Pa4 Ga4 Rh10'
_space_group_name_H-M_alt 'P 4/m b m'
_space_group_IT_number 127
_space_group_name_Hall '-P 4 2ab'
_cell_length_a 9.801
_cell_length_b 9.801
_cell_length_c 3.654
_cell_angle_alpha 90.00
_cell_angle_beta 90.00
_cell_angle_gamma 90.00
loop_
_atom_site_label
_atom_site_fract_x
_atom_site_fract_y
_atom_site_fract_z
Mg1 0.000 0.000 0.000
Pa1 0.179 0.321 0.000
Ga1 0.119 0.619 0.000
Rh1 0.000 0.500 0.500
Rh2 0.087 0.795 0.500
```

Properties
Uncorrected energy (eV per atom): -6.9671

***

No. 3
MgPaGaRh | PBE-GGA | optimized geometry

```
data_MgPaGaRh
_chemical_formula_sum 'Mg4 Pa4 Ga4 Rh4'
_space_group_name_H-M_alt 'F -4 3 m'
_space_group_IT_number 216
_space_group_name_Hall 'F -4 2 3'
_cell_length_a 6.769
_cell_length_b 6.769
_cell_length_c 6.769
_cell_angle_alpha 90.00
_cell_angle_beta 90.00
_cell_angle_gamma 90.00
loop_
_atom_site_label
_atom_site_fract_x
_atom_site_fract_y
_atom_site_fract_z
Mg1 0.000 0.000 0.000
Pa1 0.000 0.000 0.500
Ga1 0.250 0.250 0.750
Rh1 0.250 0.250 0.250
```

Properties
Uncorrected energy (eV per atom): -5.7646

***

No. 4
Mg2PaGaRh2 | PBE-GGA | optimized geometry

```
data_Mg2PaGaRh2
_chemical_formula_sum 'Mg4 Pa2 Ga2 Rh4'
_space_group_name_H-M_alt 'P m c 21'
_space_group_IT_number 26
_space_group_name_Hall 'P 2c -2'
_cell_length_a 3.834
_cell_length_b 8.302
_cell_length_c 7.100
_cell_angle_alpha 90.00
_cell_angle_beta 90.00
_cell_angle_gamma 90.00
loop_
_atom_site_label
_atom_site_fract_x
_atom_site_fract_y
_atom_site_fract_z
Mg1 0.000 0.069 0.000
Mg2 0.500 0.174 0.315
Pa1 0.500 0.416 0.903
Ga1 0.000 0.306 0.562
Rh1 0.000 0.397 0.190
Rh2 0.500 0.145 0.711
```

Properties
Uncorrected energy (eV per atom): -5.7032

***

No. 5
MgPaGaRu | PBE-GGA | optimized geometry

```
data_MgPaGaRu
_chemical_formula_sum 'Mg4 Pa4 Ga4 Ru4'
_space_group_name_H-M_alt 'F -4 3 m'
_space_group_IT_number 216
_space_group_name_Hall 'F -4 2 3'
_cell_length_a 6.740
_cell_length_b 6.740
_cell_length_c 6.740
_cell_angle_alpha 90.00
_cell_angle_beta 90.00
_cell_angle_gamma 90.00
loop_
_atom_site_label
_atom_site_fract_x
_atom_site_fract_y
_atom_site_fract_z
Mg1 0.000 0.000 0.000
Pa1 0.000 0.000 0.500
Ga1 0.250 0.250 0.250
Ru1 0.250 0.250 0.750
```

Properties
Uncorrected energy (eV per atom): -6.0424

***

No. 6
MgPaGaSn | PBE-GGA | optimized geometry

```
data_MgPaGaSn
_chemical_formula_sum 'Mg4 Pa4 Ga4 Sn4'
_space_group_name_H-M_alt 'F -4 3 m'
_space_group_IT_number 216
_space_group_name_Hall 'F -4 2 3'
_cell_length_a 7.170
_cell_length_b 7.170
_cell_length_c 7.170
_cell_angle_alpha 90.00
_cell_angle_beta 90.00
_cell_angle_gamma 90.00
loop_
_atom_site_label
_atom_site_fract_x
_atom_site_fract_y
_atom_site_fract_z
Mg1 0.000 0.000 0.000
Pa1 0.000 0.000 0.500
Ga1 0.250 0.250 0.750
Sn1 0.250 0.250 0.250
```

Properties
Offset from the most stable computed form (meV/atom): 150

***

No. 7
MgPaGaSn | PBE-GGA | optimized geometry

```
data_MgPaGaSn
_chemical_formula_sum 'Mg1 Pa1 Ga1 Sn1'
_space_group_name_H-M_alt 'P m m m'
_space_group_IT_number 47
_space_group_name_Hall '-P 2 2'
_cell_length_a 4.274
_cell_length_b 4.541
_cell_length_c 4.695
_cell_angle_alpha 90.00
_cell_angle_beta 90.00
_cell_angle_gamma 90.00
loop_
_atom_site_label
_atom_site_fract_x
_atom_site_fract_y
_atom_site_fract_z
Mg1 0.000 0.000 0.000
Pa1 0.000 0.500 0.500
Ga1 0.500 0.000 0.500
Sn1 0.500 0.500 0.000
```

Properties
Offset from the most stable computed form (meV/atom): 0

***

No. 8
MgPaGaTc | PBE-GGA | optimized geometry

```
data_MgPaGaTc
_chemical_formula_sum 'Mg4 Pa4 Ga4 Tc4'
_space_group_name_H-M_alt 'F -4 3 m'
_space_group_IT_number 216
_space_group_name_Hall 'F -4 2 3'
_cell_length_a 6.748
_cell_length_b 6.748
_cell_length_c 6.748
_cell_angle_alpha 90.00
_cell_angle_beta 90.00
_cell_angle_gamma 90.00
loop_
_atom_site_label
_atom_site_fract_x
_atom_site_fract_y
_atom_site_fract_z
Mg1 0.000 0.000 0.000
Pa1 0.000 0.000 0.500
Ga1 0.250 0.250 0.250
Tc1 0.250 0.250 0.750
```

Properties
Uncorrected energy (eV per atom): -6.1394

***

No. 9
MgGa2Pb2 | PBE-GGA | optimized geometry

```
data_MgGa2Pb2
_chemical_formula_sum 'Mg2 Ga4 Pb4'
_space_group_name_H-M_alt 'P 4/m b m'
_space_group_IT_number 127
_space_group_name_Hall '-P 4 2ab'
_cell_length_a 8.383
_cell_length_b 8.383
_cell_length_c 3.749
_cell_angle_alpha 90.00
_cell_angle_beta 90.00
_cell_angle_gamma 90.00
loop_
_atom_site_label
_atom_site_fract_x
_atom_site_fract_y
_atom_site_fract_z
Mg1 0.000 0.000 0.000
Ga1 0.145 0.355 0.500
Pb1 0.151 0.651 0.000
```

Properties
Offset from the most stable computed form (meV/atom): 116

***

No. 10
Mg6GaPb2 | PBE-GGA | optimized geometry

```
data_Mg6GaPb2
_chemical_formula_sum 'Mg6 Ga1 Pb2'
_space_group_name_H-M_alt 'P -6 2 m'
_space_group_IT_number 189
_space_group_name_Hall 'P -6 -2'
_cell_length_a 8.2667
_cell_length_b 8.2667
_cell_length_c 3.5762
_cell_angle_alpha 90.00
_cell_angle_beta 90.00
_cell_angle_gamma 120.00
loop_
_atom_site_label
_atom_site_fract_x
_atom_site_fract_y
_atom_site_fract_z
Mg1 0.0000 0.3637 0.0000
Mg2 0.0000 0.7356 0.5000
Ga1 0.0000 0.0000 0.0000
Pb1 0.3333 0.6667 0.5000
```

Properties
Uncorrected energy (eV per atom): -2.3174

***

No. 11
Mg15Ga2Pb2 | PBE-GGA | optimized geometry

```
data_Mg15Ga2Pb2
_chemical_formula_sum 'Mg45 Ga6 Pb6'
_space_group_name_H-M_alt 'R -3 m'
_space_group_IT_number 166
_space_group_name_Hall '-R 3 2"'
_cell_length_a 10.1010
_cell_length_b 10.1010
_cell_length_c 15.6620
_cell_angle_alpha 90.00
_cell_angle_beta 90.00
_cell_angle_gamma 120.00
loop_
_atom_site_label
_atom_site_fract_x
_atom_site_fract_y
_atom_site_fract_z
Mg1 0.0000 0.3192 0.0000
Mg2 0.0000 0.5000 0.5000
Mg3 0.0027 0.5014 0.8379
Ga1 0.0000 0.0000 0.0873
Pb1 0.0000 0.0000 0.3109
```

Properties
Uncorrected energy (eV per atom): -1.8946

***

No. 12
Mg2Ga2Pb | PBE-GGA | optimized geometry

```
data_Mg2Ga2Pb
_chemical_formula_sum 'Mg4 Ga4 Pb2'
_space_group_name_H-M_alt 'I 4/m m m'
_space_group_IT_number 139
_space_group_name_Hall '-I 4 2'
_cell_length_a 3.712
_cell_length_b 3.712
_cell_length_c 16.971
_cell_angle_alpha 90.00
_cell_angle_beta 90.00
_cell_angle_gamma 90.00
loop_
_atom_site_label
_atom_site_fract_x
_atom_site_fract_y
_atom_site_fract_z
Mg1 0.000 0.000 0.113
Ga1 0.000 0.500 0.250
Pb1 0.000 0.000 0.500
```

Properties
Offset from the most stable computed form (meV/atom): 72

***

Number 1: N(E_F) 0.992 states/eV per atom. Number 2: N(E_F) 0.627 states/eV per atom. Number 3: N(E_F) 1.026 states/eV per atom. Number 4: N(E_F) 0.693 states/eV per atom. Number 5: N(E_F) 0.771 states/eV per atom. Number 6: N(E_F) 1.087 states/eV per atom. Number 7: N(E_F) 1.156 states/eV per atom. Number 8: N(E_F) 1.155 states/eV per atom. Number 9: N(E_F) 0.505 states/eV per atom. Number 10: N(E_F) 0.230 states/eV per atom. Number 11: N(E_F) 0.487 states/eV per atom. Number 12: N(E_F) 0.477 states/eV per atom.